(1)
## Tl4Sb2S5Cl (GGA-PBE)

Data for a geometry-optimized Tl4Sb2S5Cl structure.

Output
SG   Amm2, No. 38

Cell: 8.6899 7.2743 7.2743 Å, 121.97 90.00 90.00°
With the nearest neighbours (Å) after each atom.
Fractional positions:
Tl1 0.0000 0.1983 0.8017  1 Cl 3.09, 4 S 3.18-3.19
Tl2 0.0000 0.8017 0.1983  1 Cl 3.09, 4 S 3.18-3.19
Tl3 0.2936 0.4634 0.4634  1 Cl 2.95, 1 S 3.29
Tl4 0.7064 0.4634 0.4634  1 Cl 2.95, 1 S 3.29
Sb1 0.5000 0.1824 0.7919  5 S 2.56-2.72
Sb2 0.5000 0.7919 0.1824  5 S 2.56-2.72
S1 0.2910 0.5101 0.9429  2 Sb 2.60-2.72
S2 0.2910 0.9429 0.5101  2 Sb 2.60-2.72
S3 0.5000 0.0729 0.0729  2 Sb 2.56
S4 0.7090 0.5101 0.9429  2 Sb 2.60-2.72
S5 0.7090 0.9429 0.5101  2 Sb 2.60-2.72
Cl1 0.0000 0.2524 0.2524  4 Tl 2.95-3.09


(2)
## TlSbSCl2 (GGA-PBE)

Data for a geometry-optimized TlSbSCl2 structure.

Output
SG   P4/mmm, No. 123
Energy above the most stable polymorph in this dataset   0 meV per atom

Cell: 5.4213 5.4213 5.1600 Å, 90.00 90.00 90.00°
With the nearest neighbours (Å) after each atom.
Fractional positions:
Tl1 0.0000 0.0000 0.0000  8 Cl 3.74, 4 S 3.83
Sb1 0.5000 0.5000 0.5000  2 S 2.58, 4 Cl 2.71
S1 0.5000 0.5000 0.0000  2 Sb 2.58
Cl1 0.0000 0.5000 0.5000  2 Sb 2.71
Cl2 0.5000 0.0000 0.5000  2 Sb 2.71


(3)
## VSbSCl2 (GGA-PBE)

Data for a geometry-optimized VSbSCl2 structure.

Output
SG   P4/mmm, No. 123
Energy above the most stable polymorph in this dataset   0 meV per atom

Cell: 4.7465 4.7465 4.8623 Å, 90.00 90.00 90.00°
With the nearest neighbours (Å) after each atom.
Fractional positions:
V1 0.0000 0.0000 0.0000  4 Cl 2.37, 2 S 2.43
Sb1 0.5000 0.5000 0.5000  4 S 3.36, 8 Cl 3.40
S1 0.0000 0.0000 0.5000  2 V 2.43
Cl1 0.0000 0.5000 0.0000  2 V 2.37
Cl2 0.5000 0.0000 0.0000  2 V 2.37


(4)
## VSbS2Cl (GGA-PBE)

Data for a geometry-optimized VSbS2Cl structure.

Output
SG   P4/mmm, No. 123
Energy above the most stable polymorph in this dataset   658 meV per atom

Cell: 5.1208 5.1208 5.0452 Å, 90.00 90.00 90.00°
With the nearest neighbours (Å) after each atom.
Fractional positions:
V1 0.0000 0.0000 0.0000  8 S 3.59, 4 Cl 3.62
Sb1 0.5000 0.5000 0.5000  2 Cl 2.52, 4 S 2.56
S1 0.0000 0.5000 0.5000  2 Sb 2.56
S2 0.5000 0.0000 0.5000  2 Sb 2.56
Cl1 0.5000 0.5000 0.0000  2 Sb 2.52


(5)
## VSbS2Cl (GGA-PBE)

Data for a geometry-optimized VSbS2Cl structure.

Output
SG   P4/mmm, No. 123
Energy above the most stable polymorph in this dataset   0 meV per atom

Cell: 4.7425 4.7425 4.6396 Å, 90.00 90.00 90.00°
With the nearest neighbours (Å) after each atom.
Fractional positions:
V1 0.0000 0.0000 0.0000  2 Cl 2.32, 4 S 2.37
Sb1 0.5000 0.5000 0.5000  8 S 3.32, 4 Cl 3.35
S1 0.0000 0.5000 0.0000  2 V 2.37
S2 0.5000 0.0000 0.0000  2 V 2.37
Cl1 0.0000 0.0000 0.5000  2 V 2.32


(6)
## VSbSCl2 (GGA-PBE)

Data for a geometry-optimized VSbSCl2 structure.

Output
SG   P4/mmm, No. 123
Energy above the most stable polymorph in this dataset   590 meV per atom

Cell: 5.2532 5.2532 5.2585 Å, 90.00 90.00 90.00°
With the nearest neighbours (Å) after each atom.
Fractional positions:
V1 0.0000 0.0000 0.0000  4 S 3.71, 8 Cl 3.72
Sb1 0.5000 0.5000 0.5000  4 Cl 2.63, 2 S 2.63
S1 0.5000 0.5000 0.0000  2 Sb 2.63
Cl1 0.0000 0.5000 0.5000  2 Sb 2.63
Cl2 0.5000 0.0000 0.5000  2 Sb 2.63


(7)
## SbWSCl2 (GGA-PBE)

Data for a geometry-optimized SbWSCl2 structure.

Output
SG   P4/mmm, No. 123
Energy above the most stable polymorph in this dataset   743 meV per atom

Cell: 5.1511 5.1511 5.3822 Å, 90.00 90.00 90.00°
With the nearest neighbours (Å) after each atom.
Fractional positions:
Sb1 0.0000 0.0000 0.0000  4 Cl 2.58, 2 S 2.69
W1 0.5000 0.5000 0.5000  4 S 3.64, 8 Cl 3.72
S1 0.0000 0.0000 0.5000  2 Sb 2.69
Cl1 0.0000 0.5000 0.0000  2 Sb 2.58
Cl2 0.5000 0.0000 0.0000  2 Sb 2.58


(8)
## SbWS2Cl (GGA-PBE)

Data for a geometry-optimized SbWS2Cl structure.

Output
SG   P4/mmm, No. 123
Energy above the most stable polymorph in this dataset   0 meV per atom

Cell: 4.7049 4.7049 4.8426 Å, 90.00 90.00 90.00°
With the nearest neighbours (Å) after each atom.
Fractional positions:
Sb1 0.0000 0.0000 0.0000  4 Cl 3.33, 8 S 3.38
W1 0.5000 0.5000 0.5000  4 S 2.35, 2 Cl 2.42
S1 0.0000 0.5000 0.5000  2 W 2.35
S2 0.5000 0.0000 0.5000  2 W 2.35
Cl1 0.5000 0.5000 0.0000  2 W 2.42


| no. | uncorrected energy (eV/atom) |
| --- | --- |
| 1 | -3.676 |
| 2 | -3.416 |
| 3 | -4.500 |
| 4 | -4.220 |
| 5 | -4.878 |
| 6 | -3.910 |
| 7 | -3.926 |
| 8 | -5.207 |